# 1
A geometry-optimized NbCuW structure. Source: the Alexandria database, functional PBE-GGA.

Structure (POSCAR):
```
NbCuW
1.0
3.237 0.000 0.000
0.000 3.237 0.000
0.000 0.000 8.953
W Nb Cu
2 2 2
Direct
0.500 0.000 0.413
0.000 0.500 0.587
0.000 0.500 0.233
0.500 0.000 0.767
0.500 0.000 0.069
0.000 0.500 0.931
```

Output
**Calculated total energy**: -53.80 eV per cell
**E_form**: 74 meV/atom
**Density**: 12.0 g/cm3
**SG**: P4/nmm

# 2
A geometry-optimized RbLiCeBr6 structure. Source: the Alexandria database, functional PBE-GGA.

Structure (POSCAR):
```
RbLiCeBr6
1.0
7.242 0.000 0.000
-3.621 6.272 0.000
0.000 0.000 15.385
Br Ce Li Rb
12 2 2 2
Direct
0.628 0.999 0.855
0.629 0.001 0.355
0.628 0.629 0.645
0.372 0.001 0.145
0.371 0.372 0.855
0.001 0.629 0.855
0.001 0.372 0.645
0.371 0.999 0.645
0.999 0.628 0.355
0.629 0.628 0.145
0.372 0.371 0.355
0.999 0.371 0.145
0.667 0.333 0.750
0.333 0.667 0.250
0.333 0.667 0.750
0.667 0.333 0.250
0.000 0.000 0.500
0.000 0.000 0.000
```

Output
**Raw formation energy**: -14.7 eV/f.u.
**Calculated total energy**: -67.04 eV per cell
**Density**: 3.4 g/cm3
**SG**: P-31c

# 3
A geometry-optimized BaLa2CeHg4 structure. Source: the Alexandria database, functional PBE-GGA.

Structure (POSCAR):
```
BaLa2CeHg4
1.0
-5.352 -1.426 -0.678
-1.818 -4.956 1.809
-4.430 1.621 8.596
Hg Ce La Ba
4 1 2 1
Direct
0.129 0.129 0.613
0.382 0.382 0.853
0.618 0.618 0.147
0.871 0.871 0.387
0.500 0.500 0.500
0.248 0.248 0.256
0.752 0.752 0.744
0.000 0.000 0.000
```

Output
**Calculated total energy**: -22.24 eV per cell
**E_form**: -415 meV/atom
**Density**: 9.0 g/cm3
**SG**: R-3m

# 4
A geometry-optimized MgCoSeN2 structure. Source: the Alexandria database, functional PBE-GGA.

Structure (POSCAR):
```
MgCoSeN2
1.0
-2.189 2.890 0.418
-2.893 -2.217 0.179
0.567 -0.321 5.187
Co N Se Mg
1 2 1 1
Direct
0.000 0.000 0.000
0.500 0.000 0.000
0.000 0.500 0.000
0.000 0.000 0.500
0.500 0.500 0.500
```

Output
**Raw formation energy**: 2.7 eV/f.u.
**Distance to the lowest polymorph of the same formula**: 0.0000 eV per atom
**Calculated total energy**: -26.13 eV per cell
**Density**: 4.5 g/cm3
**SG**: P4/mmm